1.
The following is a DFT calculation (GGA-PBE) of a relaxed structure of SrReBi.

The polymorph energy (0 for the lowest one) comes out at 0 meV/atom. The size of the total moment is 0.08 μB per atom. For the volume, the calculation gives 82.4 Å³/f.u.

It has space group F-43m (No. 216), with a = 6.9082 Å, b = 6.9082 Å, c = 6.9082 Å, α = 90.00°, β = 90.00° and γ = 90.00°. The distinct sites, in fractional coordinates, are Sr at (0.0000, 0.0000, 0.0000), Re at (0.2500, 0.2500, 0.7500) and Bi at (0.0000, 0.0000, 0.5000).

2.
The following is a DFT calculation (GGA-PBE) of a relaxed structure of SrReBi.

The polymorph energy (0 for the lowest one) comes out at 735 meV/atom. The size of the total moment is 1.21 μB per atom. For the volume, the calculation gives 101.7 Å³/f.u.

It has space group F-43m (No. 216), with a = 7.4088 Å, b = 7.4088 Å, c = 7.4088 Å, α = 90.00°, β = 90.00° and γ = 90.00°. The distinct sites, in fractional coordinates, are Sr at (0.0000, 0.0000, 0.0000), Re at (0.2500, 0.2500, 0.2500) and Bi at (0.2500, 0.2500, 0.7500).

3.
The following is a DFT calculation (GGA-PBE) of a relaxed structure of Ta2ReBi.

The total energy is -9.449 eV per atom. The size of the total moment is 0.00 μB per atom. For the volume, the calculation gives 74.8 Å³/f.u.

It has space group F-43m (No. 216), with a = 6.6886 Å, b = 6.6886 Å, c = 6.6886 Å, α = 90.00°, β = 90.00° and γ = 90.00°. The distinct sites, in fractional coordinates, are Ta at (0.0000, 0.0000, 0.0000), Ta at (0.2500, 0.2500, 0.2500), Re at (0.2500, 0.2500, 0.7500) and Bi at (0.0000, 0.0000, 0.5000).

4.
The following is a DFT calculation (GGA-PBE) of a relaxed structure of TaRe2Bi.

The total energy is -9.338 eV per atom. The size of the total moment is 0.00 μB per atom. For the volume, the calculation gives 71.9 Å³/f.u.

It has space group F-43m (No. 216), with a = 6.6016 Å, b = 6.6016 Å, c = 6.6016 Å, α = 90.00°, β = 90.00° and γ = 90.00°. The distinct sites, in fractional coordinates, are Ta at (0.0000, 0.0000, 0.0000), Re at (0.0000, 0.0000, 0.5000), Re at (0.2500, 0.2500, 0.2500) and Bi at (0.2500, 0.2500, 0.7500).

5.
The following is a DFT calculation (GGA-PBE) of a relaxed structure of Re2TcBi.

The total energy is -8.976 eV per atom. The size of the total moment is 0.01 μB per atom. For the volume, the calculation gives 67.7 Å³/f.u.

It has space group F-43m (No. 216), with a = 6.4712 Å, b = 6.4712 Å, c = 6.4712 Å, α = 90.00°, β = 90.00° and γ = 90.00°. The distinct sites, in fractional coordinates, are Re at (0.0000, 0.0000, 0.0000), Re at (0.2500, 0.2500, 0.2500), Tc at (0.2500, 0.2500, 0.7500) and Bi at (0.0000, 0.0000, 0.5000).

6.
The following is a DFT calculation (GGA-PBE) of a relaxed structure of ReTc2Bi.

The total energy is -8.533 eV per atom. The size of the total moment is 0.46 μB per atom. For the volume, the calculation gives 67.3 Å³/f.u.

It has space group F-43m (No. 216), with a = 6.4583 Å, b = 6.4583 Å, c = 6.4583 Å, α = 90.00°, β = 90.00° and γ = 90.00°. The distinct sites, in fractional coordinates, are Re at (0.0000, 0.0000, 0.0000), Tc at (0.0000, 0.0000, 0.5000), Tc at (0.2500, 0.2500, 0.2500) and Bi at (0.2500, 0.2500, 0.7500).